A relaxed structure of Tb3CeHo2. Source: Alexandria via LeMat-Bulk, functional PBE-GGA.

spin magnetization	1.18	μB per formula unit
SG	C2/m, No. 12
total DFT energy (no corrections)	-57.3	eV/cell

Cell: 6.141 12.292 7.923 Å, 130.21 97.31 109.60°
Last column: magnetic moment on the atom in μB.
Sites, in units of the cell vectors:
Tb  0.500  0.250  0.000  0.04
Tb  0.500  0.750  0.000  0.04
Tb  0.165  0.415  0.330  0.04
Tb  0.835  0.085  0.670  0.04
Tb  0.835  0.585  0.670  0.04
Tb  0.165  0.915  0.330  0.04
Ce  0.000  0.500  0.000  0.75
Ce  0.000  0.000  0.000  0.75
Ho  0.667  0.667  0.335  0.04
Ho  0.333  0.833  0.665  0.04
Ho  0.667  0.167  0.335  0.04
Ho  0.333  0.333  0.665  0.04